Record 1
Entry from Alexandria via LeMat-Bulk: a geometry-optimized ThSe structure (PBE).

The calculation puts the calculated total energy at -6.851 eV/atom. For the total magnetization, the calculation gives 0.00 μB/f.u. The value obtained for the raw formation energy is -134.9 kJ per mole of atoms.

a b c (Å): 3.677 4.833 5.980
angles (deg): 90.00 108.02 90.00
Space group P2_1/m (No. 11)
Symmetry-distinct sites (fractional):
Th  0.128  0.250  0.261 [2 per cell]
Se  0.400  0.250  0.793 [2 per cell]

Record 2
Entry from Alexandria via LeMat-Bulk: a geometry-optimized ThSe structure (PBE).

The calculation puts the calculated total energy at -6.808 eV/atom. For the total magnetization, the calculation gives 0.00 μB/f.u. The value obtained for the raw formation energy is -130.8 kJ per mole of atoms.

a b c (Å): 3.658 3.658 3.658
angles (deg): 90.00 90.00 90.00
Space group Pm-3m (No. 221)
Symmetry-distinct sites (fractional):
Th  0.000  0.000  0.000 [1 per cell]
Se  0.500  0.500  0.500 [1 per cell]

Record 3
Entry from Alexandria via LeMat-Bulk: a geometry-optimized Th4Se3 structure (PBE).

The calculation puts the calculated total energy at -6.948 eV/atom. For the total magnetization, the calculation gives 0.00 μB/f.u. The value obtained for the raw formation energy is -117.2 kJ per mole of atoms.

a b c (Å): 3.9596 3.9596 43.5891
angles (deg): 90.00 90.00 120.00
Space group R-3m (No. 166, hexagonal axes)
Symmetry-distinct sites (fractional):
Th  0.0000  0.0000  0.1236 [6 per cell]
Th  0.0000  0.0000  0.3679 [6 per cell]
Se  0.0000  0.0000  0.2537 [6 per cell]
Se  0.0000  0.0000  0.5000 [3 per cell]

Record 4
Entry from Alexandria via LeMat-Bulk: a geometry-optimized ThTiSe3 structure (PBE).

The calculation puts the calculated total energy at -6.585 eV/atom. For the total magnetization, the calculation gives 0.86 μB/f.u. The value obtained for the raw formation energy is -138.1 kJ per mole of atoms.

a b c (Å): 14.750 3.858 8.441
angles (deg): 90.00 90.66 90.00
Space group C2/m (No. 12)
Symmetry-distinct sites (fractional):
Th  0.108  0.000  0.401 [4 per cell]
Ti  0.202  0.500  0.877 [4 per cell]
Se  0.050  0.500  0.672 [4 per cell]
Se  0.129  0.000  0.041 [4 per cell]
Se  0.246  0.000  0.672 [4 per cell]

Record 5
Entry from Alexandria via LeMat-Bulk: a geometry-optimized ThTiSe structure (PBE).

The calculation puts the calculated total energy at -6.991 eV/atom. For the total magnetization, the calculation gives 0.00 μB/f.u. The value obtained for the raw formation energy is -69.9 kJ per mole of atoms.

a b c (Å): 5.767 7.581 7.719
angles (deg): 108.33 111.17 102.35
Space group P1 (No. 1)
Symmetry-distinct sites (fractional):
Th  0.000  0.000  0.000 [1 per cell]
Th  0.130  0.232  0.631 [1 per cell]
Th  0.310  0.761  0.728 [1 per cell]
Th  0.707  0.356  0.218 [1 per cell]
Ti  0.182  0.574  0.061 [1 per cell]
Ti  0.661  0.603  0.011 [1 per cell]
Ti  0.697  0.772  0.463 [1 per cell]
Ti  0.757  0.539  0.683 [1 per cell]
Se  0.099  0.832  0.350 [1 per cell]
Se  0.297  0.428  0.356 [1 per cell]
Se  0.552  0.930  0.188 [1 per cell]
Se  0.729  0.252  0.805 [1 per cell]

Record 6
Entry from Alexandria via LeMat-Bulk: a geometry-optimized ThTlSe structure (PBE).

The calculation puts the calculated total energy at -5.366 eV/atom. For the total magnetization, the calculation gives 0.00 μB/f.u. The value obtained for the raw formation energy is -91.0 kJ per mole of atoms.

a b c (Å): 4.243 4.243 9.007
angles (deg): 90.00 90.00 90.00
Space group P4/nmm (No. 129, origin choice 2)
Symmetry-distinct sites (fractional):
Th  0.250  0.250  0.199 [2 per cell]
Tl  0.250  0.750  0.500 [2 per cell]
Se  0.250  0.250  0.864 [2 per cell]

Record 7
Entry from Alexandria via LeMat-Bulk: a geometry-optimized ThTl5Se5 structure (PBE).

The calculation puts the calculated total energy at -4.031 eV/atom. For the total magnetization, the calculation gives 0.00 μB/f.u. The value obtained for the raw formation energy is -67.2 kJ per mole of atoms.

a b c (Å): 14.582 6.085 9.140
angles (deg): 90.00 109.36 90.00
Space group C2/m (No. 12)
Symmetry-distinct sites (fractional):
Th  0.000  0.000  0.000 [2 per cell]
Tl  0.000  0.000  0.500 [2 per cell]
Tl  0.176  0.500  0.842 [4 per cell]
Tl  0.184  0.500  0.317 [4 per cell]
Se  0.000  0.500  0.000 [2 per cell]
Se  0.149  0.000  0.304 [4 per cell]
Se  0.151  0.000  0.851 [4 per cell]

Record 8
Entry from Alexandria via LeMat-Bulk: a geometry-optimized ThTl2Se4 structure (PBE).

The calculation puts the calculated total energy at -4.604 eV/atom. For the total magnetization, the calculation gives 0.00 μB/f.u. The value obtained for the raw formation energy is -84.6 kJ per mole of atoms.

a b c (Å): 4.262 15.434 13.516
angles (deg): 90.00 90.00 90.00
Space group Cmcm (No. 63)
Symmetry-distinct sites (fractional):
Th  0.000  0.070  0.250 [4 per cell]
Tl  0.000  0.367  0.052 [8 per cell]
Se  0.000  0.000  0.000 [4 per cell]
Se  0.000  0.314  0.659 [8 per cell]
Se  0.000  0.444  0.250 [4 per cell]

Record 9
Entry from Alexandria via LeMat-Bulk: a geometry-optimized Th4TlSe8 structure (PBE).

The calculation puts the calculated total energy at -6.149 eV/atom. For the total magnetization, the calculation gives 0.17 μB/f.u. The value obtained for the raw formation energy is -148.5 kJ per mole of atoms.

a b c (Å): 17.353 4.403 12.926
angles (deg): 90.00 122.73 90.00
Space group Cm (No. 8)
Symmetry-distinct sites (fractional):
Th  0.000  0.000  0.000 [2 per cell]
Th  0.014  0.500  0.399 [2 per cell]
Th  0.254  0.500  0.294 [2 per cell]
Th  0.300  0.000  0.655 [2 per cell]
Tl  0.162  0.000  0.850 [2 per cell]
Se  0.041  0.500  0.175 [2 per cell]
Se  0.100  0.000  0.577 [2 per cell]
Se  0.196  0.000  0.118 [2 per cell]
Se  0.211  0.500  0.482 [2 per cell]
Se  0.303  0.500  0.817 [2 per cell]
Se  0.373  0.000  0.471 [2 per cell]
Se  0.400  0.500  0.242 [2 per cell]
Se  0.498  0.000  0.843 [2 per cell]

Record 10
Entry from Alexandria via LeMat-Bulk: a geometry-optimized ThTlSe4 structure (PBE).

The calculation puts the calculated total energy at -4.679 eV/atom. For the total magnetization, the calculation gives 0.00 μB/f.u. The value obtained for the raw formation energy is -69.9 kJ per mole of atoms.

a b c (Å): 9.705 7.838 9.543
angles (deg): 90.00 90.00 90.00
Space group Cmcm (No. 63)
Symmetry-distinct sites (fractional):
Th  0.000  0.087  0.250 [4 per cell]
Tl  0.000  0.449  0.750 [4 per cell]
Se  0.000  0.200  0.548 [8 per cell]
Se  0.225  0.356  0.250 [8 per cell]

Record 11
Entry from Alexandria via LeMat-Bulk: a geometry-optimized ThTl5Se4 structure (PBE).

The calculation puts the calculated total energy at -4.058 eV/atom. For the total magnetization, the calculation gives 0.00 μB/f.u. The value obtained for the raw formation energy is -71.3 kJ per mole of atoms.

a b c (Å): 18.884 4.347 8.872
angles (deg): 90.00 115.56 90.00
Space group C2/m (No. 12)
Symmetry-distinct sites (fractional):
Th  0.000  0.000  0.000 [2 per cell]
Tl  0.000  0.000  0.500 [2 per cell]
Tl  0.143  0.500  0.773 [4 per cell]
Tl  0.212  0.500  0.319 [4 per cell]
Se  0.038  0.500  0.248 [4 per cell]
Se  0.162  0.000  0.049 [4 per cell]

Record 12
Entry from Alexandria via LeMat-Bulk: a geometry-optimized ThTl7Se6 structure (PBE).

The calculation puts the calculated total energy at -3.821 eV/atom. For the total magnetization, the calculation gives 0.00 μB/f.u. The value obtained for the raw formation energy is -59.3 kJ per mole of atoms.

a b c (Å): 9.0238 9.0238 19.9065
angles (deg): 90.00 90.00 120.00
Space group R3 (No. 146, hexagonal axes)
Symmetry-distinct sites (fractional):
Th  0.0000  0.0000  0.0000 [3 per cell]
Tl  0.0000  0.0000  0.3579 [3 per cell]
Tl  0.0372  0.2842  0.2359 [9 per cell]
Tl  0.1032  0.6690  0.4294 [9 per cell]
Se  0.0261  0.4417  0.7500 [9 per cell]
Se  0.0977  0.7263  0.5882 [9 per cell]